[1]
Entry from Alexandria via LeMat-Bulk: a relaxed K3Tm2ScTe6 crystal (GGA-PBE).

Properties
ρ, g/cm³: 5.070
Total DFT energy (no corrections), eV/atom: -4.45
Spin magnetization, μB/f.u.: 0.0

a = 7.630 Å, b = 7.630 Å, c = 8.607 Å
α = 98.49°, β = 98.49°, γ = 120.01°
Sites, in units of the cell vectors:
1 Te 0.743 0.743 0.204
2 Te 0.932 0.607 0.797
3 Te 0.257 0.257 0.796
4 Te 0.068 0.393 0.203
5 Te 0.607 0.932 0.797
6 Te 0.393 0.068 0.203
7 K 0.500 0.500 0.500
8 K 0.831 0.169 0.500
9 K 0.169 0.831 0.500
10 Sc 0.000 0.000 0.000
11 Tm 0.334 0.666 0.000
12 Tm 0.666 0.334 0.000

---

[2]
Entry from Alexandria via LeMat-Bulk: a relaxed PrHoH8Ir2 crystal (GGA-PBE).

Properties
ρ, g/cm³: 9.175
Total DFT energy (no corrections), eV/atom: -4.77
Spin magnetization, μB/f.u.: 0.0

a = 4.871 Å, b = 4.871 Å, c = 6.764 Å
α = 68.90°, β = 68.90°, γ = 60.00°
Sites, in units of the cell vectors:
1 H 0.108 0.450 0.823
2 H 0.450 0.619 0.823
3 H 0.177 0.177 0.468
4 H 0.619 0.108 0.823
5 H 0.381 0.892 0.177
6 H 0.823 0.823 0.532
7 H 0.892 0.550 0.177
8 H 0.550 0.381 0.177
9 Ir 0.735 0.735 0.794
10 Ir 0.265 0.265 0.206
11 Ho 0.000 0.000 0.000
12 Pr 0.500 0.500 0.500

---

[3]
Entry from Alexandria via LeMat-Bulk: a relaxed BeCd2Hg crystal (GGA-PBE).

Properties
ρ, g/cm³: 9.051
Distance to the lowest polymorph of the same formula, meV/atom: 121.9
Calculated formation energy, eV per atom: 0.3293
Spin magnetization, μB/f.u.: 0.0

a = 5.127 Å, b = 5.127 Å, c = 5.831 Å
α = 69.93°, β = 69.93°, γ = 33.84°
Sites, in units of the cell vectors:
1 Cd 0.031 0.031 0.963
2 Cd 0.469 0.469 0.537
3 Be 0.750 0.750 0.750
4 Hg 0.250 0.250 0.250

---

[4]
Entry from Alexandria via LeMat-Bulk: a relaxed DyCd3Hg6 crystal (GGA-PBE).

Properties
ρ, g/cm³: 10.847
Distance to the lowest polymorph of the same formula, meV/atom: 24.0
Calculated formation energy, eV per atom: -0.0854
Spin magnetization, μB/f.u.: 0.0

a = 4.647 Å, b = 12.136 Å, c = 11.894 Å
α = 128.96°, β = 90.00°, γ = 90.00°
Sites, in units of the cell vectors:
1 Hg 0.250 0.112 0.180
2 Hg 0.750 0.558 0.680
3 Hg 0.250 0.099 0.885
4 Hg 0.750 0.888 0.820
5 Hg 0.750 0.800 0.301
6 Hg 0.750 0.901 0.115
7 Hg 0.750 0.488 0.177
8 Hg 0.250 0.200 0.699
9 Hg 0.250 0.794 0.476
10 Hg 0.250 0.442 0.320
11 Hg 0.250 0.512 0.823
12 Hg 0.750 0.206 0.524
13 Cd 0.750 0.380 0.881
14 Cd 0.250 0.794 0.906
15 Cd 0.250 0.348 0.497
16 Cd 0.750 0.206 0.094
17 Cd 0.250 0.620 0.119
18 Cd 0.750 0.652 0.503
19 Dy 0.250 0.993 0.352
20 Dy 0.750 0.007 0.648

---

[5]
Entry from Alexandria via LeMat-Bulk: a relaxed PuZrSc4 crystal (GGA-PBE).

Properties
ρ, g/cm³: 5.909
Distance to the lowest polymorph of the same formula, meV/atom: 0.0
Calculated formation energy, eV per atom: 0.0402
Spin magnetization, μB/f.u.: 6.1

a = 9.825 Å, b = 5.212 Å, c = 11.304 Å
α = 90.00°, β = 90.00°, γ = 90.00°
Site moments in Bohr magnetons follow the coordinates.
Sites, in units of the cell vectors:
1 Sc 0.912 0.750 0.294  0.07
2 Sc 0.916 0.250 0.958  0.05
3 Sc 0.588 0.750 0.794  0.07
4 Sc 0.746 0.750 0.039  0.07
5 Sc 0.751 0.250 0.709  0.05
6 Sc 0.088 0.250 0.706  0.07
7 Sc 0.416 0.750 0.542  0.05
8 Sc 0.412 0.250 0.206  0.07
9 Sc 0.249 0.750 0.291  0.05
10 Sc 0.254 0.250 0.961  0.07
11 Sc 0.754 0.750 0.539  0.07
12 Sc 0.749 0.250 0.209  0.05
13 Sc 0.084 0.750 0.042  0.05
14 Sc 0.584 0.250 0.458  0.05
15 Sc 0.246 0.250 0.461  0.07
16 Sc 0.251 0.750 0.791  0.05
17 Pu 0.576 0.750 0.290  5.42
18 Pu 0.424 0.250 0.710  5.42
19 Pu 0.076 0.250 0.210  5.42
20 Pu 0.924 0.750 0.790  5.42
21 Zr 0.075 0.750 0.546  -0.04
22 Zr 0.925 0.250 0.454  -0.04
23 Zr 0.575 0.250 0.954  -0.04
24 Zr 0.425 0.750 0.046  -0.04

---

[6]
Entry from Alexandria via LeMat-Bulk: a relaxed Tl3FeSi crystal (GGA-PBE).

Properties
ρ, g/cm³: 8.472
Distance to the lowest polymorph of the same formula, meV/atom: 0.0
Spin magnetization, μB/f.u.: 2.9

a = 5.150 Å, b = 5.150 Å, c = 5.150 Å
α = 90.00°, β = 90.00°, γ = 90.00°
Site moments in Bohr magnetons follow the coordinates.
Sites, in units of the cell vectors:
1 Tl 0.000 0.000 0.500  -0.01
2 Tl 0.000 0.500 0.000  -0.03
3 Tl 0.500 0.000 0.000  -0.04
4 Si 0.500 0.500 0.500  0.28
5 Fe 0.000 0.000 0.000  2.18

---

[7]
Entry from Alexandria via LeMat-Bulk: a relaxed TlCdF3 crystal (GGA-PBE).

Properties
ρ, g/cm³: 6.004
Total DFT energy (no corrections), eV/atom: -3.76
Spin magnetization, μB/f.u.: 0.0

a = 4.048 Å, b = 4.048 Å, c = 14.571 Å
α = 90.00°, β = 90.00°, γ = 120.00°
Sites, in units of the cell vectors:
1 F 0.667 0.333 0.396
2 F 0.333 0.667 0.896
3 F 0.000 0.000 0.250
4 F 0.333 0.667 0.604
5 F 0.667 0.333 0.104
6 F 0.000 0.000 0.750
7 Cd 0.667 0.333 0.250
8 Cd 0.333 0.667 0.750
9 Tl 0.000 0.000 0.500
10 Tl 0.000 0.000 0.000

---

[8]
Entry from Alexandria via LeMat-Bulk: a relaxed Pr5Nd4Mg2 crystal (GGA-PBE).

Properties
ρ, g/cm³: 5.909
Distance to the lowest polymorph of the same formula, meV/atom: 0.0
Calculated formation energy, eV per atom: 0.0492
Spin magnetization, μB/f.u.: 0.0

a = 3.607 Å, b = 8.991 Å, c = 14.363 Å
α = 125.67°, β = 97.21°, γ = 90.00°
Sites, in units of the cell vectors:
1 Pr 0.870 0.841 0.740
2 Pr 0.183 0.897 0.366
3 Pr 0.817 0.103 0.634
4 Pr 0.500 0.000 0.000
5 Pr 0.130 0.159 0.260
6 Mg 0.555 0.734 0.109
7 Mg 0.445 0.266 0.891
8 Nd 0.289 0.398 0.577
9 Nd 0.071 0.431 0.143
10 Nd 0.929 0.569 0.857
11 Nd 0.711 0.602 0.423